# 1
{"formula": "TbSb3", "functional": "PBE", "state": "optimized geometry", "cell": [[-1.332, 4.029, -1.425], [0.694, -1.269, -4.236], [-4.795, -3.177, 2.530]], "species": ["Sb", "Sb", "Sb", "Tb"], "frac_coords": [[0.500, 0.500, 0.000], [0.750, 0.250, 0.500], [0.250, 0.750, 0.500], [0.000, 0.000, 0.000]], "raw_formation_energy_mev_per_atom": -437}

---

# 2
{"formula": "CrFe2Ir", "functional": "PBE", "state": "optimized geometry", "cell": [[-7.906, 2.344, 1.719], [-8.376, -0.123, 0.887], [-7.698, 0.318, 3.406]], "species": ["Cr", "Ir", "Fe", "Fe"], "frac_coords": [[0.746, 0.746, 0.746], [0.499, 0.499, 0.499], [0.001, 0.001, 0.001], [0.253, 0.253, 0.253]], "delta_e_f_ev_per_atom": 0.09}

---

# 3
{"formula": "LaMgMo2", "functional": "PBE", "state": "optimized geometry", "cell": [[4.675, 0.000, 0.000], [0.000, 2.839, 0.104], [0.000, 2.528, 6.553]], "species": ["Mo", "Mo", "La", "Mg"], "frac_coords": [[0.000, 0.974, 0.931], [0.000, 0.526, 0.569], [0.500, 0.250, 0.250], [0.500, 0.750, 0.750]], "delta_e_f_ev_per_atom": 0.55}

---

# 4
{"formula": "ZrPb3", "functional": "PBE", "state": "optimized geometry", "cell": [[-2.824, 1.658, -0.926], [-3.147, -3.922, 2.573], [0.187, 3.005, 4.810]], "species": ["Pb", "Pb", "Pb", "Zr"], "frac_coords": [[0.500, 0.500, 0.867], [0.500, 0.000, 0.468], [0.000, 0.500, 0.356], [0.000, 0.000, 0.975]], "delta_e_f_ev_per_atom": 0.08}

---

# 5
{"formula": "CeZrFe2", "functional": "PBE", "state": "optimized geometry", "cell": [[3.236, 0.000, 0.000], [0.000, 4.650, 0.000], [0.000, 0.000, 4.650]], "species": ["Fe", "Fe", "Ce", "Zr"], "frac_coords": [[0.000, 0.500, 0.000], [0.000, 0.000, 0.500], [0.500, 0.000, 0.000], [0.500, 0.500, 0.500]], "delta_e_f_ev_per_atom": 0.02}

---

# 6
{"formula": "MnFe2IrPd", "functional": "PBE", "state": "optimized geometry", "cell": [[4.568, 0.000, 0.000], [0.000, 4.970, 0.000], [0.000, 0.000, 4.568]], "species": ["Fe", "Fe", "Mn", "Pd", "Ir"], "frac_coords": [[0.500, 0.000, 0.000], [0.000, 0.000, 0.500], [0.500, 0.500, 0.500], [0.000, 0.500, 0.000], [0.000, 0.000, 0.000]], "delta_e_f_ev_per_atom": 1.27}

---

Number 1: magnetic moment 0.000 μB/f.u., calculated total energy -18.746 eV per formula unit. Number 2: magnetic moment 3.432 μB/f.u., calculated total energy -35.060 eV per formula unit. Number 3: magnetic moment 0.000 μB/f.u., calculated total energy -25.990 eV per formula unit. Number 4: magnetic moment 0.000 μB/f.u., calculated total energy -19.363 eV per formula unit. Number 5: magnetic moment 1.005 μB/f.u., calculated total energy -31.332 eV per formula unit. Number 6: magnetic moment 11.616 μB/f.u., calculated total energy -33.811 eV per formula unit.